Entry 1:
## Na2HoCuBr6 (PBE)

Data for a relaxed structure of Na2HoCuBr6.

Calculated values
total magnetization: 0.0043 μB per atom
uncorrected formation energy: -1.364 eV per atom
mass density: 4441 kg/m³

```
20
Lattice="6.983 0.000 0.000 0.000 7.417 0.000 -6.540 0.000 10.886" Properties=species:S:1:pos:R:3 pbc="T T T"
Na -0.187 0.670 2.589
Na -3.457 3.039 8.031
Na 3.900 4.378 2.854
Na 0.629 6.747 8.297
Ho 3.491 0.000 0.000
Ho 0.221 3.708 5.443
Cu -3.270 0.000 5.443
Cu 0.000 3.708 0.000
Br -5.304 1.500 10.178
Br -2.034 2.208 4.735
Br -4.446 5.082 10.124
Br -1.176 6.043 4.681
Br -2.175 0.321 8.260
Br 1.095 3.388 2.817
Br -0.653 4.029 8.069
Br 2.618 7.096 2.626
Br 1.619 1.374 6.205
Br 4.889 2.334 0.762
Br 2.476 5.209 6.150
Br 5.747 5.916 0.708
```

Entry 2:
## PuUPa2 (PBE)

Data for a relaxed structure of PuUPa2.

Calculated values
total magnetization: 0.8445 μB per atom
mass density: 17191 kg/m³
distance to the lowest polymorph of the same formula: 52 meV/atom

```
4
Lattice="5.376 0.000 0.000 0.000 5.376 0.000 0.000 0.000 3.156" Properties=species:S:1:pos:R:3 pbc="T T T"
Pu 0.000 0.000 0.000
U 2.688 2.688 0.000
Pa 0.000 2.688 1.578
Pa 2.688 0.000 1.578
```